VASP calculation (GGA-PBEsol) on an optimized crystal structure of YCu2Ag.

abc: 4.1399 4.1399 7.8928
angles: 90.00 90.00 90.00
Space group I-4m2 (No. 119)
One atom of each set of equivalent atoms:
Y: 0.0000 0.0000 0.0000 (multiplicity 2)
Cu: 0.0000 0.0000 0.5000 (multiplicity 2)
Cu: 0.0000 0.5000 0.7500 (multiplicity 2)
Ag: 0.0000 0.5000 0.2500 (multiplicity 2)

DFT total energy ... -4.7705 eV/atom
Crystal system ... tetragonal
Calculated volume ... 67.64 Å³/f.u.